A relaxed Tl2FePb crystal, computed with GGA-PBE.

Computed properties:
ΔE to the lowest computed polymorph in meV per atom: 0
ΔE_f in eV/atom: 0.37
Total DFT energy (no corrections) in eV/cell: -30.8
ρ in g/cm3: 11.01
Fermi-level density of states in states/eV/f.u.: 3.0

Lattice parameters (Å, degrees): 4.3894 4.9580 9.3077 90.00 90.00 90.00
With the nearest neighbours (Å) after each atom.
Space group Cmm2 (No. 35)
Inequivalent atoms, fractional coordinates:
Tl1 0.0000 0.0000 0.0000 (multiplicity 2)  8 Tl 3.31-3.65, 2 Pb 3.68
Tl2 0.0000 0.5000 0.2885 (multiplicity 2)  4 Fe 2.84-3.06
Fe1 0.0000 0.0000 0.4819 (multiplicity 2)  4 Tl 2.84-3.06, 4 Pb 2.88-3.10
Pb1 0.0000 0.5000 0.6823 (multiplicity 2)  4 Fe 2.88-3.10

***

A relaxed TlFePb2 crystal, computed with GGA-PBE.

Computed properties:
ΔE to the lowest computed polymorph in meV per atom: 236
ΔE_f in eV/atom: 0.56
Total DFT energy (no corrections) in eV/cell: -32.0
ρ in g/cm3: 10.78
Fermi-level density of states in states/eV/f.u.: 3.9

Lattice parameters (Å, degrees): 4.5332 4.5332 10.1158 90.00 90.00 90.00
With the nearest neighbours (Å) after each atom.
Space group I-4m2 (No. 119)
Inequivalent atoms, fractional coordinates:
Tl1 0.0000 0.0000 0.0000 (multiplicity 2)  8 Pb 3.21-3.40, 4 Fe 3.40
Fe1 0.0000 0.5000 0.7500 (multiplicity 2)  8 Pb 3.21-3.40, 4 Tl 3.40
Pb1 0.0000 0.0000 0.5000 (multiplicity 2)  4 Tl 3.21, 4 Fe 3.40, 4 Pb 3.40
Pb2 0.0000 0.5000 0.2500 (multiplicity 2)  4 Fe 3.21, 4 Tl 3.40, 4 Pb 3.40

***

A relaxed TlFePb2 crystal, computed with GGA-PBE.

Computed properties:
ΔE to the lowest computed polymorph in meV per atom: 42
ΔE_f in eV/atom: 0.36
Total DFT energy (no corrections) in eV/cell: -50.4
ρ in g/cm3: 10.73
Fermi-level density of states in states/eV/f.u.: 2.1

Lattice parameters (Å, degrees): 3.5481 3.5481 28.7278 90.00 90.00 120.00
With the nearest neighbours (Å) after each atom.
Space group R-3m (No. 166, hexagonal axes)
Inequivalent atoms, fractional coordinates:
Tl1 0.0000 0.0000 0.0000 (multiplicity 3)  6 Pb 3.54, 6 Tl 3.55
Fe1 0.0000 0.0000 0.5000 (multiplicity 3)  6 Pb 2.80
Pb1 0.0000 0.0000 0.2330 (multiplicity 6)  3 Fe 2.80

***

A relaxed TlFe2Pb crystal, computed with GGA-PBE.

Computed properties:
ΔE_f in eV/atom: 0.66
Total DFT energy (no corrections) in eV/cell: -20.4
ρ in g/cm3: 10.70
Fermi-level density of states in states/eV/f.u.: 3.4

Lattice parameters (Å, degrees): 3.6075 3.4611 6.6870 90.00 103.54 90.00
With the nearest neighbours (Å) after each atom.
Space group P2/m (No. 10)
Inequivalent atoms, fractional coordinates:
Tl1 0.0000 0.0000 0.0000 (multiplicity 1)  8 Fe 2.76-2.80
Fe1 0.4281 0.5000 0.8131 (multiplicity 2)  1 Fe 2.43
Pb1 0.0000 0.0000 0.5000 (multiplicity 1)  4 Fe 2.87

***

A relaxed TlFePb2 crystal, computed with GGA-PBE.

Computed properties:
ΔE to the lowest computed polymorph in meV per atom: 49
ΔE_f in eV/atom: 0.37
Total DFT energy (no corrections) in eV/cell: -33.5
ρ in g/cm3: 10.69
Fermi-level density of states in states/eV/f.u.: 2.6

Lattice parameters (Å, degrees): 3.1767 4.8054 13.7349 90.00 90.00 90.00
With the nearest neighbours (Å) after each atom.
Space group Immm (No. 71)
Inequivalent atoms, fractional coordinates:
Tl1 0.0000 0.0000 0.0000 (multiplicity 2)  4 Fe 2.88, 2 Tl 3.18
Fe1 0.0000 0.0000 0.5000 (multiplicity 2)  4 Tl 2.88, 4 Pb 2.93, 2 Fe 3.18
Pb1 0.0000 0.5000 0.1790 (multiplicity 4)  2 Fe 2.93, 2 Pb 3.18

***

A relaxed TlFePb2 crystal, computed with GGA-PBE.

Computed properties:
ΔE to the lowest computed polymorph in meV per atom: 59
ΔE_f in eV/atom: 0.38
Total DFT energy (no corrections) in eV/cell: -33.5
ρ in g/cm3: 10.49
Fermi-level density of states in states/eV/f.u.: 3.2

Lattice parameters (Å, degrees): 3.2639 4.5307 14.4479 90.00 90.00 90.00
With the nearest neighbours (Å) after each atom.
Space group Imm2 (No. 44)
Inequivalent atoms, fractional coordinates:
Tl1 0.0000 0.0000 0.0000 (multiplicity 2)  2 Fe 3.15, 2 Tl 3.26, 6 Pb 3.42-3.49
Fe1 0.0000 0.5000 0.6862 (multiplicity 2)  6 Pb 2.80-2.94
Pb1 0.0000 0.0000 0.3553 (multiplicity 2)  2 Fe 2.94, 2 Pb 3.26
Pb2 0.0000 0.5000 0.1771 (multiplicity 2)  4 Fe 2.80

***

A relaxed TlFe2Pb crystal, computed with GGA-PBE.

Computed properties:
ΔE_f in eV/atom: 0.57
Total DFT energy (no corrections) in eV/cell: -41.4
ρ in g/cm3: 9.75
Fermi-level density of states in states/eV/f.u.: 3.7

Lattice parameters (Å, degrees): 9.6607 3.1335 6.7535 90.00 119.37 90.00
With the nearest neighbours (Å) after each atom.
Space group C2/m (No. 12)
Inequivalent atoms, fractional coordinates:
Tl1 0.0000 0.0000 0.0000 (multiplicity 2)  6 Fe 2.79-2.83
Fe1 0.2279 0.0000 0.8528 (multiplicity 4)  2 Fe 2.40
Pb1 0.0000 0.5000 0.5000 (multiplicity 2)  4 Fe 2.80, 2 Pb 3.13

***

A relaxed TlFe2Pb crystal, computed with GGA-PBE.

Computed properties:
ΔE_f in eV/atom: 0.50
Total DFT energy (no corrections) in eV/cell: -63.0
ρ in g/cm3: 10.45
Fermi-level density of states in states/eV/f.u.: 2.7

Lattice parameters (Å, degrees): 3.2259 3.2259 27.6663 90.00 90.00 120.00
With the nearest neighbours (Å) after each atom.
Space group R3m (No. 160, hexagonal axes)
Inequivalent atoms, fractional coordinates:
Tl1 0.0000 0.0000 0.0000 (multiplicity 3)  3 Fe 2.93, 6 Tl 3.23
Fe1 0.0000 0.0000 0.4704 (multiplicity 3)  3 Fe 2.41
Fe2 0.0000 0.0000 0.7482 (multiplicity 3)  3 Fe 2.41
Pb1 0.0000 0.0000 0.2210 (multiplicity 3)  3 Fe 2.98, 6 Pb 3.23

***

A relaxed TlFe2Pb crystal, computed with GGA-PBE.

Computed properties:
ΔE_f in eV/atom: 0.86
Total DFT energy (no corrections) in eV/cell: -78.3
ρ in g/cm3: 10.66
Fermi-level density of states in states/eV/f.u.: 4.1

Lattice parameters (Å, degrees): 6.8827 6.8827 6.8827 90.00 90.00 90.00
With the nearest neighbours (Å) after each atom.
Space group F-43m (No. 216)
Inequivalent atoms, fractional coordinates:
Tl1 0.0000 0.0000 0.0000 (multiplicity 4)  4 Fe 2.98, 4 Pb 2.98
Fe1 0.0000 0.0000 0.5000 (multiplicity 4)  4 Pb 2.98, 4 Fe 2.98
Fe2 0.2500 0.2500 0.2500 (multiplicity 4)  4 Tl 2.98, 4 Fe 2.98
Pb1 0.2500 0.2500 0.7500 (multiplicity 4)  4 Tl 2.98, 4 Fe 2.98

***

A relaxed ZrTlFe2Pb crystal, computed with GGA-PBE.

Computed properties:
ΔE_f in eV/atom: 1.60
Total DFT energy (no corrections) in eV/cell: -23.5
ρ in g/cm3: 8.29
Fermi-level density of states in states/eV/f.u.: 13.7

Lattice parameters (Å, degrees): 4.7762 4.7762 5.3959 90.00 90.00 90.00
With the nearest neighbours (Å) after each atom.
Space group P4/mmm (No. 123)
Inequivalent atoms, fractional coordinates:
Zr1 0.0000 0.0000 0.0000 (multiplicity 1)  2 Tl 2.70
Tl1 0.0000 0.0000 0.5000 (multiplicity 1)  4 Fe 2.39
Fe1 0.0000 0.5000 0.5000 (multiplicity 2)  2 Tl 2.39
Pb1 0.5000 0.5000 0.0000 (multiplicity 1)  4 Zr 3.38, 8 Fe 3.60

***

A relaxed Tm4FePb crystal, computed with GGA-PBE.

Computed properties:
ΔE_f in eV/atom: -0.25
Total DFT energy (no corrections) in eV/cell: -126.1
ρ in g/cm3: 9.80
Fermi-level density of states in states/eV/f.u.: 4.9

Lattice parameters (Å, degrees): 8.6783 13.1052 5.9333 90.00 109.48 90.00
With the nearest neighbours (Å) after each atom.
Space group C2/c (No. 15)
Inequivalent atoms, fractional coordinates:
Tm1 0.1074 0.1603 0.0520 (multiplicity 8)  2 Fe 2.72
Tm2 0.2264 0.4284 0.3705 (multiplicity 8)  2 Fe 2.83-2.86
Fe1 0.0000 0.9999 0.2500 (multiplicity 4)  8 Tm 2.72-2.86, 2 Fe 2.97
Pb1 0.0000 0.3699 0.7500 (multiplicity 4)  8 Tm 3.23-3.53

***

A relaxed Tm2FePb crystal, computed with GGA-PBE.

Computed properties:
ΔE to the lowest computed polymorph in meV per atom: 366
ΔE_f in eV/atom: 0.18
Total DFT energy (no corrections) in eV/cell: -61.2
ρ in g/cm3: 9.35
Fermi-level density of states in states/eV/f.u.: 4.0

Lattice parameters (Å, degrees): 3.5327 3.5327 29.6259 90.00 90.00 120.00
With the nearest neighbours (Å) after each atom.
Space group R-3m (No. 166, hexagonal axes)
Inequivalent atoms, fractional coordinates:
Tm1 0.0000 0.0000 0.1081 (multiplicity 6)  3 Fe 2.68
Fe1 0.0000 0.0000 0.5000 (multiplicity 3)  6 Tm 2.68
Pb1 0.0000 0.0000 0.0000 (multiplicity 3)  2 Tm 3.20, 6 Pb 3.53

***

> Which value of ΔE_f does entry 9 give?

0.86 eV/atom

***

> Number 11 is which compound?

Tm4FePb